Record 1
A plane-wave DFT calculation with PBE-GGA was carried out for VRe3H after structural relaxation.

Geometry as CIF:
```
data_VRe3H
_symmetry_space_group_name_H-M 'P 1'
_symmetry_Int_Tables_number 1
_cell_length_a 4.4902
_cell_length_b 4.4902
_cell_length_c 4.4902
_cell_angle_alpha 90.00
_cell_angle_beta 90.00
_cell_angle_gamma 90.00
loop_
_symmetry_equiv_pos_as_xyz
'x,y,z'
loop_
_atom_site_label
_atom_site_fract_x
_atom_site_fract_y
_atom_site_fract_z
_atom_site_occupancy
Re1 0.0000 0.5000 0.0000 1
Re2 0.0000 0.0000 0.5000 1
Re3 0.5000 0.0000 0.0000 1
V1 0.0000 0.0000 0.0000 1
H1 0.5000 0.5000 0.5000 1
```

* density of states at the Fermi level: 5.653 states/eV/cell
* E_tot: -7.455 eV per atom

Record 2
A plane-wave DFT calculation with PBE-GGA was carried out for PmMo2N3 after structural relaxation.

Geometry as CIF:
```
data_PmMo2N3
_symmetry_space_group_name_H-M 'P 1'
_symmetry_Int_Tables_number 1
_cell_length_a 4.9736
_cell_length_b 6.4958
_cell_length_c 6.4958
_cell_angle_alpha 121.35
_cell_angle_beta 90.00
_cell_angle_gamma 90.00
loop_
_symmetry_equiv_pos_as_xyz
'x,y,z'
loop_
_atom_site_label
_atom_site_fract_x
_atom_site_fract_y
_atom_site_fract_z
_atom_site_occupancy
Pm1 0.2500 0.2641 0.7359 1
Pm2 0.7500 0.7359 0.2641 1
Mo1 0.0000 0.1985 0.1985 1
Mo2 0.5000 0.1985 0.1985 1
Mo3 0.0000 0.8015 0.8015 1
Mo4 0.5000 0.8015 0.8015 1
N1 0.7500 0.1154 0.8846 1
N2 0.7500 0.1565 0.4213 1
N3 0.2500 0.4213 0.1565 1
N4 0.7500 0.5787 0.8435 1
N5 0.2500 0.8435 0.5787 1
N6 0.2500 0.8846 0.1154 1
```

* density of states at the Fermi level: 7.401 states/eV/cell
* raw formation energy: -0.1398 eV/atom

Record 3
A plane-wave DFT calculation with PBE-GGA was carried out for Pr3Nd2ScSe6 after structural relaxation.

Geometry as CIF:
```
data_Pr3Nd2ScSe6
_symmetry_space_group_name_H-M 'P 1'
_symmetry_Int_Tables_number 1
_cell_length_a 4.1714
_cell_length_b 8.4503
_cell_length_c 9.3715
_cell_angle_alpha 103.11
_cell_angle_beta 102.86
_cell_angle_gamma 90.00
loop_
_symmetry_equiv_pos_as_xyz
'x,y,z'
loop_
_atom_site_label
_atom_site_fract_x
_atom_site_fract_y
_atom_site_fract_z
_atom_site_occupancy
Pr1 0.5000 0.5000 0.0000 1
Pr2 0.8279 0.1639 0.6559 1
Pr3 0.1721 0.8361 0.3441 1
Nd1 0.8330 0.6661 0.6660 1
Nd2 0.1670 0.3339 0.3340 1
Sc1 0.5000 0.0000 0.0000 1
Se1 0.3441 0.9201 0.6883 1
Se2 0.6667 0.5818 0.3335 1
Se3 0.6559 0.0799 0.3117 1
Se4 0.9982 0.2282 0.9965 1
Se5 0.0018 0.7718 0.0035 1
Se6 0.3333 0.4182 0.6665 1
```

* density of states at the Fermi level: 6.261 states/eV/cell
* raw formation energy: -1.7815 eV/atom

Record 4
A plane-wave DFT calculation with PBE-GGA was carried out for Tm8Te3AsSe3 after structural relaxation.

Geometry as CIF:
```
data_Tm8Te3AsSe3
_symmetry_space_group_name_H-M 'P 1'
_symmetry_Int_Tables_number 1
_cell_length_a 8.1785
_cell_length_b 8.1784
_cell_length_c 8.3296
_cell_angle_alpha 119.40
_cell_angle_beta 90.00
_cell_angle_gamma 120.00
loop_
_symmetry_equiv_pos_as_xyz
'x,y,z'
loop_
_atom_site_label
_atom_site_fract_x
_atom_site_fract_y
_atom_site_fract_z
_atom_site_occupancy
Tm1 0.2625 0.5249 0.2874 1
Tm2 0.7375 0.4751 0.7126 1
Tm3 0.7587 0.5175 0.2778 1
Tm4 0.2413 0.4825 0.7222 1
Tm5 0.7587 0.0191 0.2778 1
Tm6 0.2413 0.9809 0.7222 1
Tm7 0.2604 0.0191 0.2778 1
Tm8 0.7396 0.9809 0.7222 1
Te1 0.0000 0.0000 0.0000 1
Te2 0.0000 0.5000 0.0000 1
Te3 0.5000 0.5000 0.0000 1
As1 0.0000 0.0000 0.5000 1
Se1 0.5000 0.0000 0.5000 1
Se2 0.5000 0.5000 0.5000 1
Se3 0.0000 0.5000 0.5000 1
```

* density of states at the Fermi level: 7.780 states/eV/cell
* raw formation energy: -1.3115 eV/atom

Record 5
A plane-wave DFT calculation with PBE-GGA was carried out for VHgH after structural relaxation.

Geometry as CIF:
```
data_VHgH
_symmetry_space_group_name_H-M 'P 1'
_symmetry_Int_Tables_number 1
_cell_length_a 4.4647
_cell_length_b 4.4647
_cell_length_c 5.4003
_cell_angle_alpha 90.00
_cell_angle_beta 90.00
_cell_angle_gamma 120.00
loop_
_symmetry_equiv_pos_as_xyz
'x,y,z'
loop_
_atom_site_label
_atom_site_fract_x
_atom_site_fract_y
_atom_site_fract_z
_atom_site_occupancy
H1 0.0000 0.0000 0.0000 1
H2 0.0000 0.0000 0.5000 1
Hg1 0.3333 0.6667 0.2500 1
Hg2 0.6667 0.3333 0.7500 1
V1 0.3333 0.6667 0.7500 1
V2 0.6667 0.3333 0.2500 1
```

* density of states at the Fermi level: 3.963 states/eV/cell
* E_tot: -2.987 eV per atom

Record 6
A plane-wave DFT calculation with PBE-GGA was carried out for Y6AlPt2 after structural relaxation.

Geometry as CIF:
```
data_Y6AlPt2
_symmetry_space_group_name_H-M 'P 1'
_symmetry_Int_Tables_number 1
_cell_length_a 8.5304
_cell_length_b 8.5304
_cell_length_c 8.5304
_cell_angle_alpha 104.48
_cell_angle_beta 111.24
_cell_angle_gamma 112.81
loop_
_symmetry_equiv_pos_as_xyz
'x,y,z'
loop_
_atom_site_label
_atom_site_fract_x
_atom_site_fract_y
_atom_site_fract_z
_atom_site_occupancy
Y1 0.5334 0.7140 0.8194 1
Y2 0.4666 0.2860 0.1806 1
Y3 0.1054 0.2860 0.8194 1
Y4 0.8946 0.7140 0.1806 1
Y5 0.8048 0.7623 0.5671 1
Y6 0.1952 0.2377 0.4329 1
Y7 0.1952 0.7623 0.9575 1
Y8 0.8048 0.2377 0.0425 1
Y9 0.6988 0.3678 0.6690 1
Y10 0.3012 0.6322 0.3310 1
Y11 0.3012 0.9703 0.6690 1
Y12 0.6988 0.0297 0.3310 1
Al1 0.0000 0.5000 0.5000 1
Al2 0.0000 0.0000 0.0000 1
Pt1 0.5000 0.3657 0.8657 1
Pt2 0.5000 0.6343 0.1343 1
Pt3 0.6651 0.0000 0.6651 1
Pt4 0.3349 0.0000 0.3349 1
```

* formation enthalpy at 0 K: -714 meV per atom
* density of states at the Fermi level: 17.176 states/eV/cell

Record 7
A plane-wave DFT calculation with PBE-GGA was carried out for Li6Tl5Bi after structural relaxation.

Geometry as CIF:
```
data_Li6Tl5Bi
_symmetry_space_group_name_H-M 'P 1'
_symmetry_Int_Tables_number 1
_cell_length_a 4.9685
_cell_length_b 7.1020
_cell_length_c 8.5321
_cell_angle_alpha 114.60
_cell_angle_beta 106.36
_cell_angle_gamma 90.00
loop_
_symmetry_equiv_pos_as_xyz
'x,y,z'
loop_
_atom_site_label
_atom_site_fract_x
_atom_site_fract_y
_atom_site_fract_z
_atom_site_occupancy
Tl1 0.6743 0.1730 0.3460 1
Tl2 0.3355 0.3365 0.6732 1
Tl3 0.0000 0.5000 0.0000 1
Tl4 0.6645 0.6635 0.3268 1
Tl5 0.3257 0.8270 0.6540 1
Bi1 0.0000 0.0000 0.0000 1
Li1 0.8344 0.5893 0.6703 1
Li2 0.8343 0.0811 0.6707 1
Li3 0.5000 0.7586 0.0000 1
Li4 0.5000 0.2414 0.0000 1
Li5 0.1657 0.9189 0.3293 1
Li6 0.1656 0.4107 0.3297 1
```

* formation enthalpy at 0 K: -258 meV per atom
* density of states at the Fermi level: 4.130 states/eV/cell

Record 8
A plane-wave DFT calculation with PBE-GGA was carried out for ErTc2 after structural relaxation.

Geometry as CIF:
```
data_ErTc2
_symmetry_space_group_name_H-M 'P 1'
_symmetry_Int_Tables_number 1
_cell_length_a 5.3816
_cell_length_b 5.3816
_cell_length_c 5.3816
_cell_angle_alpha 60.00
_cell_angle_beta 60.00
_cell_angle_gamma 60.00
loop_
_symmetry_equiv_pos_as_xyz
'x,y,z'
loop_
_atom_site_label
_atom_site_fract_x
_atom_site_fract_y
_atom_site_fract_z
_atom_site_occupancy
Tc1 0.1250 0.6250 0.6250 1
Tc2 0.6250 0.1250 0.6250 1
Tc3 0.6250 0.6250 0.6250 1
Tc4 0.6250 0.6250 0.1250 1
Er1 0.0000 0.0000 0.0000 1
Er2 0.2500 0.2500 0.2500 1
```

* formation enthalpy at 0 K: -184 meV per atom
* density of states at the Fermi level: 8.443 states/eV/cell

Record 9
A plane-wave DFT calculation with PBE-GGA was carried out for MoRu2 after structural relaxation.

Geometry as CIF:
```
data_MoRu2
_symmetry_space_group_name_H-M 'P 1'
_symmetry_Int_Tables_number 1
_cell_length_a 2.7395
_cell_length_b 6.1500
_cell_length_c 2.7395
_cell_angle_alpha 77.13
_cell_angle_beta 90.00
_cell_angle_gamma 102.87
loop_
_symmetry_equiv_pos_as_xyz
'x,y,z'
loop_
_atom_site_label
_atom_site_fract_x
_atom_site_fract_y
_atom_site_fract_z
_atom_site_occupancy
Mo1 0.0000 0.0000 0.0000 1
Ru1 0.3302 0.6605 0.6698 1
Ru2 0.6698 0.3395 0.3302 1
```

* formation enthalpy at 0 K: 100 meV per atom
* density of states at the Fermi level: 4.745 states/eV/cell

Record 10
A plane-wave DFT calculation with PBE-GGA was carried out for BeV2Pd4 after structural relaxation.

Geometry as CIF:
```
data_BeV2Pd4
_symmetry_space_group_name_H-M 'P 1'
_symmetry_Int_Tables_number 1
_cell_length_a 4.1609
_cell_length_b 4.1609
_cell_length_c 7.1373
_cell_angle_alpha 73.05
_cell_angle_beta 73.05
_cell_angle_gamma 90.00
loop_
_symmetry_equiv_pos_as_xyz
'x,y,z'
loop_
_atom_site_label
_atom_site_fract_x
_atom_site_fract_y
_atom_site_fract_z
_atom_site_occupancy
Be1 0.0000 0.0000 0.0000 1
Pd1 0.1709 0.1709 0.6582 1
Pd2 0.8291 0.8291 0.3418 1
Pd3 0.0000 0.5000 0.0000 1
Pd4 0.5000 0.0000 0.0000 1
V1 0.3616 0.3616 0.2768 1
V2 0.6384 0.6384 0.7232 1
```

* formation enthalpy at 0 K: 247 meV per atom
* density of states at the Fermi level: 9.431 states/eV/cell

Record 11
A plane-wave DFT calculation with PBE-GGA was carried out for Zr2OsBr after structural relaxation.

Geometry as CIF:
```
data_Zr2OsBr
_symmetry_space_group_name_H-M 'P 1'
_symmetry_Int_Tables_number 1
_cell_length_a 3.1955
_cell_length_b 3.1955
_cell_length_c 7.8830
_cell_angle_alpha 90.00
_cell_angle_beta 90.00
_cell_angle_gamma 90.00
loop_
_symmetry_equiv_pos_as_xyz
'x,y,z'
loop_
_atom_site_label
_atom_site_fract_x
_atom_site_fract_y
_atom_site_fract_z
_atom_site_occupancy
Os1 0.5000 0.5000 0.7500 1
Br1 0.5000 0.5000 0.2500 1
Zr1 0.0000 0.0000 0.9639 1
Zr2 0.0000 0.0000 0.5361 1
```

* density of states at the Fermi level: 3.834 states/eV/cell
* raw formation energy: -0.4166 eV/atom

Record 12
A plane-wave DFT calculation with PBE-GGA was carried out for CsKMg2Ga after structural relaxation.

Geometry as CIF:
```
data_CsKMg2Ga
_symmetry_space_group_name_H-M 'P 1'
_symmetry_Int_Tables_number 1
_cell_length_a 5.5344
_cell_length_b 5.5344
_cell_length_c 6.5791
_cell_angle_alpha 90.00
_cell_angle_beta 90.00
_cell_angle_gamma 90.00
loop_
_symmetry_equiv_pos_as_xyz
'x,y,z'
loop_
_atom_site_label
_atom_site_fract_x
_atom_site_fract_y
_atom_site_fract_z
_atom_site_occupancy
Cs1 0.5000 0.5000 0.5000 1
K1 0.0000 0.0000 0.5000 1
Mg1 0.0000 0.5000 0.0000 1
Mg2 0.5000 0.0000 0.0000 1
Ga1 0.0000 0.0000 0.0000 1
```

* formation enthalpy at 0 K: 133 meV per atom
* density of states at the Fermi level: 2.361 states/eV/cell

- Look up the density of states at the Fermi level of the fourth one.
  7.780 states/eV/cell